# Ni2SnAsF | Alexandria via LeMat-Bulk | GGA+U | optimized geometry
# DOS(E_F) in states/eV/cell: 1.71
# Uncorrected energy in eV/cell: -15.469
data_Ni2SnAsF
_space_group_name_H-M_alt 'P 4/m m m'
_space_group_IT_number 123
_space_group_name_Hall '-P 4 2'
_cell_length_a 4.1923
_cell_length_b 4.1923
_cell_length_c 4.9787
_cell_angle_alpha 90.00
_cell_angle_beta 90.00
_cell_angle_gamma 90.00
loop_
_atom_site_label
_atom_site_type_symbol
_atom_site_fract_x
_atom_site_fract_y
_atom_site_fract_z
Ni1 Ni 0.0000 0.5000 0.0000
Sn1 Sn 0.0000 0.0000 0.5000
As1 As 0.5000 0.5000 0.5000
F1 F 0.0000 0.0000 0.0000